a:
VASP calculation (PBE) on a relaxed NaPaAu2 crystal.

Cell lengths 5.006, 5.006, 5.006 Å; angles 60.00, 60.00, 60.00 degrees
Sites, in units of the cell vectors:
Na (0.000, 0.000, 0.000)
Pa (0.500, 0.500, 0.500)
Au (0.250, 0.250, 0.250)
Au (0.750, 0.750, 0.750)

Results
volume	88.7	Å³ per cell

=====

b:
VASP calculation (PBE) on a relaxed NaPaAu2 crystal.

Cell lengths 5.328, 5.328, 3.156 Å; angles 90.00, 90.00, 90.00 degrees
Sites, in units of the cell vectors:
Na (0.000, 0.000, 0.000)
Pa (0.500, 0.500, 0.000)
Au (0.000, 0.500, 0.500)
Au (0.500, 0.000, 0.500)

Results
volume	89.6	Å³ per cell

=====

Stability, highest: b

=====

a:
VASP calculation (PBE) on a relaxed Na5PbAu crystal.

Cell lengths 6.136, 6.136, 11.036 Å; angles 97.01, 97.01, 87.03 degrees
Sites, in units of the cell vectors:
Na (0.021, 0.589, 0.167)
Na (0.148, 0.852, 0.750)
Na (0.248, 0.481, 0.486)
Na (0.411, 0.979, 0.333)
Na (0.481, 0.248, 0.986)
Na (0.519, 0.752, 0.014)
Na (0.589, 0.021, 0.667)
Na (0.752, 0.519, 0.514)
Na (0.852, 0.148, 0.250)
Na (0.979, 0.411, 0.833)
Pb (0.000, 0.000, 0.000)
Pb (0.000, 0.000, 0.500)
Au (0.495, 0.505, 0.750)
Au (0.505, 0.495, 0.250)

Results
volume	409.1	Å³ per cell

=====

b:
VASP calculation (PBE) on a relaxed Na5PbAu crystal.

Cell lengths 9.095, 9.095, 6.269 Å; angles 110.10, 110.10, 58.16 degrees
Sites, in units of the cell vectors:
Na (0.064, 0.281, 0.921)
Na (0.182, 0.818, 0.750)
Na (0.281, 0.064, 0.421)
Na (0.378, 0.379, 0.879)
Na (0.379, 0.378, 0.379)
Na (0.621, 0.622, 0.621)
Na (0.622, 0.621, 0.121)
Na (0.719, 0.936, 0.579)
Na (0.818, 0.182, 0.250)
Na (0.936, 0.719, 0.079)
Pb (0.000, 0.500, 0.500)
Pb (0.500, 0.000, 0.000)
Au (0.284, 0.716, 0.250)
Au (0.716, 0.284, 0.750)

Results
volume	405.0	Å³ per cell

=====

Stability, highest: b

=====

a:
VASP calculation (PBE) on a relaxed Na6Pb2Au crystal.

Cell lengths 9.151, 9.151, 3.502 Å; angles 90.00, 90.00, 120.00 degrees
Sites, in units of the cell vectors:
Na (0.000, 0.273, 0.000)
Na (0.000, 0.626, 0.500)
Na (0.273, 0.000, 0.000)
Na (0.374, 0.374, 0.500)
Na (0.626, 0.000, 0.500)
Na (0.727, 0.727, 0.000)
Pb (0.333, 0.667, 0.000)
Pb (0.667, 0.333, 0.000)
Au (0.000, 0.000, 0.500)

Results
volume	254.0	Å³ per cell

=====

b:
VASP calculation (PBE) on a relaxed Na6Pb2Au crystal.

Cell lengths 10.786, 10.786, 10.786 Å; angles 29.42, 29.42, 29.42 degrees
Sites, in units of the cell vectors:
Na (0.078, 0.078, 0.078)
Na (0.197, 0.197, 0.197)
Na (0.306, 0.306, 0.306)
Na (0.694, 0.694, 0.694)
Na (0.803, 0.803, 0.803)
Na (0.922, 0.922, 0.922)
Pb (0.411, 0.411, 0.411)
Pb (0.589, 0.589, 0.589)
Au (0.500, 0.500, 0.500)

Results
volume	267.9	Å³ per cell

=====

Stability, highest: b

=====

a:
VASP calculation (PBE) on a relaxed NaPb3Au8 crystal.

Cell lengths 5.746, 5.746, 9.195 Å; angles 90.00, 90.00, 120.00 degrees
Sites, in units of the cell vectors:
Na (0.000, 0.000, 0.000)
Pb (0.000, 0.000, 0.379)
Pb (0.667, 0.333, 0.496)
Pb (0.667, 0.333, 0.883)
Au (0.163, 0.327, 0.689)
Au (0.163, 0.837, 0.689)
Au (0.333, 0.667, 0.436)
Au (0.333, 0.667, 0.938)
Au (0.503, 0.006, 0.184)
Au (0.503, 0.497, 0.184)
Au (0.673, 0.837, 0.689)
Au (0.994, 0.497, 0.184)

Results
volume	262.9	Å³ per cell

=====

b:
VASP calculation (PBE) on a relaxed NaPb3Au8 crystal.

Cell lengths 9.913, 9.913, 9.913 Å; angles 33.39, 33.39, 33.39 degrees
Sites, in units of the cell vectors:
Na (0.000, 0.000, 0.000)
Pb (0.372, 0.372, 0.372)
Pb (0.498, 0.498, 0.498)
Pb (0.876, 0.876, 0.876)
Au (0.187, 0.187, 0.187)
Au (0.435, 0.936, 0.936)
Au (0.438, 0.438, 0.937)
Au (0.438, 0.937, 0.438)
Au (0.686, 0.686, 0.686)
Au (0.936, 0.435, 0.936)
Au (0.936, 0.936, 0.435)
Au (0.937, 0.438, 0.438)

Results
volume	262.7	Å³ per cell

=====

Stability, highest: b

=====

a:
VASP calculation (PBE) on a relaxed NaPb8Au2 crystal.

Cell lengths 8.217, 8.217, 6.073 Å; angles 102.95, 102.95, 60.26 degrees
Sites, in units of the cell vectors:
Na (0.000, 0.000, 0.000)
Pb (0.168, 0.587, 0.620)
Pb (0.190, 0.190, 0.772)
Pb (0.410, 0.410, 0.144)
Pb (0.413, 0.832, 0.380)
Pb (0.587, 0.168, 0.620)
Pb (0.590, 0.590, 0.856)
Pb (0.810, 0.810, 0.228)
Pb (0.832, 0.413, 0.380)
Au (0.223, 0.223, 0.272)
Au (0.777, 0.777, 0.728)

Results
volume	343.9	Å³ per cell

=====

b:
VASP calculation (PBE) on a relaxed NaPb8Au2 crystal.

Cell lengths 7.994, 7.994, 5.612 Å; angles 97.36, 97.36, 111.38 degrees
Sites, in units of the cell vectors:
Na (0.000, 0.000, 0.000)
Pb (0.071, 0.330, 0.612)
Pb (0.250, 0.750, 0.000)
Pb (0.330, 0.071, 0.612)
Pb (0.369, 0.369, 0.172)
Pb (0.631, 0.631, 0.828)
Pb (0.670, 0.929, 0.388)
Pb (0.750, 0.250, 0.000)
Pb (0.929, 0.670, 0.388)
Au (0.326, 0.674, 0.500)
Au (0.674, 0.326, 0.500)

Results
volume	325.2	Å³ per cell

=====

Stability, highest: b

=====

a:
VASP calculation (PBE) on a relaxed NaPb3Au3 crystal.

Cell lengths 7.609, 7.609, 7.609 Å; angles 65.76, 65.76, 65.76 degrees
Sites, in units of the cell vectors:
Na (0.123, 0.123, 0.123)
Na (0.877, 0.877, 0.877)
Pb (0.052, 0.534, 0.242)
Pb (0.242, 0.052, 0.534)
Pb (0.466, 0.758, 0.948)
Pb (0.534, 0.242, 0.052)
Pb (0.758, 0.948, 0.466)
Pb (0.948, 0.466, 0.758)
Au (0.235, 0.694, 0.393)
Au (0.306, 0.607, 0.765)
Au (0.393, 0.235, 0.694)
Au (0.607, 0.765, 0.306)
Au (0.694, 0.393, 0.235)
Au (0.765, 0.306, 0.607)

Results
volume	350.5	Å³ per cell

=====

b:
VASP calculation (PBE) on a relaxed NaPb3Au3 crystal.

Cell lengths 7.724, 7.724, 7.724 Å; angles 68.62, 68.62, 68.62 degrees
Sites, in units of the cell vectors:
Na (0.164, 0.164, 0.164)
Na (0.836, 0.836, 0.836)
Pb (0.120, 0.401, 0.699)
Pb (0.301, 0.880, 0.599)
Pb (0.401, 0.699, 0.120)
Pb (0.599, 0.301, 0.880)
Pb (0.699, 0.120, 0.401)
Pb (0.880, 0.599, 0.301)
Au (0.051, 0.796, 0.432)
Au (0.204, 0.568, 0.949)
Au (0.432, 0.051, 0.796)
Au (0.568, 0.949, 0.204)
Au (0.796, 0.432, 0.051)
Au (0.949, 0.204, 0.568)

Results
volume	385.0	Å³ per cell

=====

Stability, highest: b

=====

a:
VASP calculation (PBE) on a relaxed NaPuPbAu crystal.

Cell lengths 5.232, 5.232, 5.232 Å; angles 60.00, 60.00, 60.00 degrees
Sites, in units of the cell vectors:
Na (0.000, 0.000, 0.000)
Pu (0.500, 0.500, 0.500)
Pb (0.250, 0.250, 0.250)
Au (0.750, 0.750, 0.750)

Results
volume	101.3	Å³ per cell

=====

b:
VASP calculation (PBE) on a relaxed NaPuPbAu crystal.

Cell lengths 3.371, 3.371, 9.002 Å; angles 90.00, 90.00, 90.00 degrees
Sites, in units of the cell vectors:
Na (0.000, 0.000, 0.000)
Pu (0.000, 0.000, 0.555)
Pb (0.500, 0.500, 0.274)
Au (0.500, 0.500, 0.775)

Results
volume	102.3	Å³ per cell

=====

Stability, highest: b

=====

a:
VASP calculation (PBE) on a relaxed RbNa2PbAu crystal.

Cell lengths 5.792, 5.792, 5.564 Å; angles 90.00, 90.00, 90.00 degrees
Sites, in units of the cell vectors:
Rb (0.000, 0.000, 0.000)
Na (0.000, 0.500, 0.500)
Na (0.500, 0.000, 0.500)
Pb (0.500, 0.500, 0.000)
Au (0.500, 0.500, 0.500)

Results
volume	186.7	Å³ per cell

=====

b:
VASP calculation (PBE) on a relaxed RbNa2PbAu crystal.

Cell lengths 5.955, 5.955, 5.662 Å; angles 90.00, 90.00, 90.00 degrees
Sites, in units of the cell vectors:
Rb (0.000, 0.000, 0.000)
Na (0.000, 0.500, 0.500)
Na (0.500, 0.000, 0.500)
Pb (0.500, 0.500, 0.500)
Au (0.500, 0.500, 0.000)

Results
volume	200.8	Å³ per cell

=====

Stability, highest: a

=====

a:
VASP calculation (PBE) on a relaxed NaTlPbAu crystal.

Cell lengths 3.556, 3.556, 8.393 Å; angles 90.00, 90.00, 90.00 degrees
Sites, in units of the cell vectors:
Na (0.000, 0.000, 0.000)
Tl (0.500, 0.500, 0.719)
Pb (0.000, 0.000, 0.421)
Au (0.500, 0.500, 0.210)

Results
volume	106.1	Å³ per cell

=====

b:
VASP calculation (PBE) on a relaxed NaTlPbAu crystal.

Cell lengths 5.200, 5.200, 5.200 Å; angles 60.00, 60.00, 60.00 degrees
Sites, in units of the cell vectors:
Na (0.000, 0.000, 0.000)
Tl (0.250, 0.250, 0.250)
Pb (0.750, 0.750, 0.750)
Au (0.500, 0.500, 0.500)

Results
volume	99.4	Å³ per cell

=====

Stability, highest: a

=====

a:
VASP calculation (PBE) on a relaxed Na2Pd2Au crystal.

Cell lengths 5.457, 5.457, 8.338 Å; angles 101.34, 101.34, 60.89 degrees
Sites, in units of the cell vectors:
Na (0.013, 0.292, 0.156)
Na (0.292, 0.013, 0.656)
Na (0.708, 0.987, 0.344)
Na (0.987, 0.708, 0.844)
Pd (0.240, 0.505, 0.503)
Pd (0.495, 0.760, 0.997)
Pd (0.505, 0.240, 0.003)
Pd (0.760, 0.495, 0.497)
Au (0.331, 0.669, 0.250)
Au (0.669, 0.331, 0.750)

Results
volume	211.2	Å³ per cell

=====

b:
VASP calculation (PBE) on a relaxed Na2Pd2Au crystal.

Cell lengths 5.630, 5.630, 5.630 Å; angles 132.14, 123.35, 77.25 degrees
Sites, in units of the cell vectors:
Na (0.199, 0.199, 0.000)
Na (0.801, 0.801, 0.000)
Pd (0.242, 0.500, 0.742)
Pd (0.758, 0.500, 0.258)
Au (0.500, 0.000, 0.500)

Results
volume	107.3	Å³ per cell

=====

Stability, highest: b

=====

a:
VASP calculation (PBE) on a relaxed Na2Pd2Au crystal.

Cell lengths 6.841, 6.841, 4.455 Å; angles 90.00, 90.00, 90.00 degrees
Sites, in units of the cell vectors:
Na (0.172, 0.328, 0.000)
Na (0.328, 0.828, 0.000)
Na (0.672, 0.172, 0.000)
Na (0.828, 0.672, 0.000)
Pd (0.134, 0.634, 0.500)
Pd (0.366, 0.134, 0.500)
Pd (0.634, 0.866, 0.500)
Pd (0.866, 0.366, 0.500)
Au (0.000, 0.000, 0.500)
Au (0.500, 0.500, 0.500)

Results
volume	208.5	Å³ per cell

=====

b:
VASP calculation (PBE) on a relaxed Na2Pd2Au crystal.

Cell lengths 7.980, 7.980, 2.868 Å; angles 90.00, 90.00, 90.00 degrees
Sites, in units of the cell vectors:
Na (0.124, 0.376, 0.000)
Na (0.376, 0.876, 0.000)
Na (0.624, 0.124, 0.000)
Na (0.876, 0.624, 0.000)
Pd (0.178, 0.678, 0.500)
Pd (0.322, 0.178, 0.500)
Pd (0.678, 0.822, 0.500)
Pd (0.822, 0.322, 0.500)
Au (0.000, 0.000, 0.000)
Au (0.500, 0.500, 0.000)

Results
volume	182.6	Å³ per cell

=====

Stability, highest: a

=====

a:
VASP calculation (PBE) on a relaxed Na8PdAu2 crystal.

Cell lengths 7.982, 7.982, 5.318 Å; angles 98.71, 98.71, 113.32 degrees
Sites, in units of the cell vectors:
Na (0.066, 0.309, 0.586)
Na (0.224, 0.776, 0.000)
Na (0.309, 0.066, 0.586)
Na (0.358, 0.358, 0.174)
Na (0.642, 0.642, 0.826)
Na (0.691, 0.934, 0.414)
Na (0.776, 0.224, 0.000)
Na (0.934, 0.691, 0.414)
Pd (0.000, 0.000, 0.000)
Au (0.319, 0.681, 0.500)
Au (0.681, 0.319, 0.500)

Results
volume	299.1	Å³ per cell

=====

b:
VASP calculation (PBE) on a relaxed Na8PdAu2 crystal.

Cell lengths 8.508, 8.508, 8.508 Å; angles 146.63, 124.53, 66.30 degrees
Sites, in units of the cell vectors:
Na (0.123, 0.347, 0.775)
Na (0.149, 0.149, 0.000)
Na (0.299, 0.000, 0.299)
Na (0.428, 0.653, 0.775)
Na (0.572, 0.347, 0.225)
Na (0.701, 0.000, 0.701)
Na (0.851, 0.851, 0.000)
Na (0.877, 0.653, 0.225)
Pd (0.000, 0.500, 0.500)
Au (0.309, 0.809, 0.500)
Au (0.691, 0.191, 0.500)

Results
volume	275.6	Å³ per cell

=====

Stability, highest: b